(1)
Compound: Cs4Ge3Cl10
Source: Alexandria
Functional: GGA-PBE
Structure: optimized geometry

Cell and atoms, written as POSCAR:
```
Cs4Ge3Cl10
1.0
5.3017 0.0000 -0.7199
-0.0977 5.3008 -0.7199
-0.0225 -0.0229 19.7169
Cs Ge Cl
4 3 10
Direct
0.5677 0.5677 0.1353
0.4323 0.4323 0.8647
0.2993 0.2993 0.5986
0.7007 0.7007 0.4014
0.1401 0.1401 0.2802
0.8599 0.8599 0.7198
0.0000 0.0000 0.0000
0.1389 0.6389 0.2778
0.0689 0.0689 0.1378
0.6389 0.1389 0.2778
0.8611 0.3611 0.7222
0.3611 0.8611 0.7222
0.9311 0.9311 0.8622
0.2075 0.2075 0.4151
0.7925 0.7925 0.5849
0.0000 0.5000 0.0000
0.5000 0.0000 0.0000
```

Results
Total magnetization = 0.00 μB/atom
Space-group type = I4/mmm, No. 139
Formation energy from raw total energies = -1.409 eV per atom
Calculated density = 3.3 g/cm3
Volume = 554 Å³/f.u.

=====

(2)
Compound: CsGe2Cl
Source: Alexandria
Functional: GGA-PBE
Structure: optimized geometry

Cell and atoms, written as POSCAR:
```
CsGe2Cl
1.0
4.9253 0.0000 0.0000
0.0000 4.9253 0.0000
2.4627 2.4627 11.8147
Cs Ge Cl
2 4 2
Direct
0.0000 0.0000 0.0000
0.7500 0.2500 0.5000
0.4121 0.1250 0.2500
0.3379 0.6250 0.2500
0.3750 0.5879 0.7500
0.8750 0.6621 0.7500
0.5000 0.5000 0.0000
0.2500 0.7500 0.5000
```

Results
Total magnetization = 0.00 μB/atom
Polymorph energy (0 for the lowest one) = 0.0 meV per atom
Space-group type = I-42d, No. 122
Formation energy from raw total energies = -0.228 eV per atom
Calculated density = 3.6 g/cm3
Volume = 143 Å³/f.u.

=====

(3)
Compound: CsGe2Cl
Source: Alexandria
Functional: GGA-PBE
Structure: optimized geometry

Cell and atoms, written as POSCAR:
```
CsGe2Cl
1.0
2.1717 0.9888 4.9600
-3.0145 2.4824 3.8790
-1.7329 -2.8470 4.3804
Cs Ge Cl
1 2 1
Direct
0.5000 0.5000 0.5000
0.2500 0.2500 0.2500
0.7500 0.7500 0.7500
0.0000 0.0000 0.0000
```

Results
Total magnetization = 0.00 μB/atom
Polymorph energy (0 for the lowest one) = 766.8 meV per atom
Space-group type = Fm-3m, No. 225
Formation energy from raw total energies = 0.539 eV per atom
Calculated density = 4.4 g/cm3
Volume = 118 Å³/f.u.

=====

(4)
Compound: Cs2Ge2Cl
Source: Alexandria
Functional: GGA-PBE
Structure: optimized geometry

Cell and atoms, written as POSCAR:
```
Cs2Ge2Cl
1.0
3.9405 0.0000 0.0000
0.0000 3.9405 0.0000
1.9702 1.9702 10.9025
Cs Ge Cl
2 2 1
Direct
0.4025 0.4025 0.1949
0.5975 0.5975 0.8051
0.7500 0.2500 0.5000
0.2500 0.7500 0.5000
0.0000 0.0000 0.0000
```

Results
Total magnetization = 0.00 μB/atom
Space-group type = I4/mmm, No. 139
Formation energy from raw total energies = -0.654 eV per atom
Calculated density = 4.4 g/cm3
Volume = 169 Å³/f.u.

=====

(5)
Compound: CsGeCl5
Source: Alexandria
Functional: GGA-PBE
Structure: optimized geometry

Cell and atoms, written as POSCAR:
```
CsGeCl5
1.0
-3.2379 -5.0427 4.7235
1.6153 -7.3682 -0.5956
4.2666 -4.0748 4.7378
Cs Ge Cl
1 1 5
Direct
0.0000 0.7885 0.2115
0.5000 0.4525 0.5475
0.7062 0.2377 0.3499
0.5000 0.7774 0.2226
0.2938 0.6501 0.7623
0.7636 0.3123 0.6877
0.2364 0.3123 0.6877
```

Results
Total magnetization = 0.00 μB/atom
Space-group type = Imm2, No. 44
Formation energy from raw total energies = -1.148 eV per atom
Calculated density = 2.2 g/cm3
Volume = 290 Å³/f.u.

=====

(6)
Compound: Cs2Ge3Cl8
Source: Alexandria
Functional: GGA-PBE
Structure: optimized geometry

Cell and atoms, written as POSCAR:
```
Cs2Ge3Cl8
1.0
-5.8779 -2.9805 -2.6664
0.3273 -5.7327 5.6864
-2.5227 8.3705 2.8416
Cs Ge Cl
2 3 8
Direct
0.3189 0.2655 0.5310
0.6811 0.7345 0.4690
0.5000 0.0000 0.0000
0.0000 0.2592 0.0000
0.0000 0.7408 0.0000
0.9645 0.5991 0.1981
0.0355 0.4009 0.8019
0.8831 0.0985 0.1970
0.1169 0.9015 0.8030
0.6178 0.6776 0.8151
0.6178 0.1375 0.8151
0.3822 0.8625 0.1849
0.3822 0.3224 0.1849
```

Results
Total magnetization = 0.00 μB/atom
Space-group type = C2/m, No. 12
Formation energy from raw total energies = -1.170 eV per atom
Calculated density = 2.8 g/cm3
Volume = 452 Å³/f.u.

=====

(7)
Compound: Cs3GeCl6
Source: Alexandria
Functional: GGA-PBE
Structure: optimized geometry

Cell and atoms, written as POSCAR:
```
Cs3GeCl6
1.0
9.2275 0.4411 -0.0810
-0.0855 9.2377 -0.0810
0.4166 0.4411 9.2185
Cs Ge Cl
6 2 12
Direct
0.3988 0.1012 0.7500
0.1012 0.7500 0.3988
0.7500 0.3988 0.1012
0.8988 0.2500 0.6012
0.2500 0.6012 0.8988
0.6012 0.8988 0.2500
0.5000 0.5000 0.5000
0.0000 0.0000 0.0000
0.9256 0.7456 0.0663
0.7456 0.0663 0.9256
0.0663 0.9256 0.7456
0.4256 0.5663 0.2456
0.5663 0.2456 0.4256
0.2456 0.4256 0.5663
0.0744 0.2544 0.9337
0.2544 0.9337 0.0744
0.9337 0.0744 0.2544
0.5744 0.4337 0.7544
0.4337 0.7544 0.5744
0.7544 0.5744 0.4337
```

Results
Total magnetization = 0.07 μB/atom
Polymorph energy (0 for the lowest one) = 0.0 meV per atom
Space-group type = R-3c, No. 167
Formation energy from raw total energies = -1.505 eV per atom
Calculated density = 2.9 g/cm3
Volume = 393 Å³/f.u.

=====

(8)
Compound: CsGe2Cl5
Source: Alexandria
Functional: GGA-PBE
Structure: optimized geometry

Cell and atoms, written as POSCAR:
```
CsGe2Cl5
1.0
-2.9597 -3.6803 2.5456
6.3669 -2.0175 -1.1680
4.1860 5.6575 13.0461
Cs Ge Cl
2 4 10
Direct
0.4647 0.9294 0.7500
0.5353 0.0706 0.2500
0.8638 0.7277 0.4295
0.8638 0.7277 0.0705
0.1362 0.2723 0.5705
0.1362 0.2723 0.9295
0.9452 0.8905 0.8969
0.9452 0.8905 0.6031
0.3500 0.6999 0.4389
0.3500 0.6999 0.0611
0.8276 0.6553 0.2500
0.1724 0.3447 0.7500
0.6500 0.3001 0.5611
0.6500 0.3001 0.9389
0.0548 0.1095 0.1031
0.0548 0.1095 0.3969
```

Results
Total magnetization = 0.00 μB/atom
Space-group type = Cmcm, No. 63
Formation energy from raw total energies = -1.100 eV per atom
Calculated density = 3.1 g/cm3
Volume = 248 Å³/f.u.

=====

(9)
Compound: CsGe5Cl11
Source: Alexandria
Functional: GGA-PBE
Structure: optimized geometry

Cell and atoms, written as POSCAR:
```
CsGe5Cl11
1.0
-0.7319 0.2914 -8.7657
-5.7935 -5.7832 2.2189
-2.8844 7.5996 2.4209
Cs Ge Cl
1 5 11
Direct
0.0000 0.0000 0.0000
0.6589 0.0687 0.3733
0.3411 0.9313 0.6267
0.3411 0.6267 0.9313
0.6589 0.3733 0.0687
0.0000 0.5000 0.5000
0.3411 0.6154 0.6154
0.6589 0.3846 0.3846
0.6888 0.1412 0.6780
0.3112 0.8588 0.3220
0.3112 0.3220 0.8588
0.6888 0.6780 0.1412
0.5000 0.0000 0.0000
0.0409 0.8377 0.5751
0.9591 0.1623 0.4249
0.9591 0.4249 0.1623
0.0409 0.5751 0.8377
```

Results
Total magnetization = 0.00 μB/atom
Space-group type = C2/m, No. 12
Formation energy from raw total energies = -0.898 eV per atom
Calculated density = 2.6 g/cm3
Volume = 557 Å³/f.u.

=====

(10)
Compound: CsGeCl6
Source: Alexandria
Functional: GGA-PBE
Structure: optimized geometry

Cell and atoms, written as POSCAR:
```
CsGeCl6
1.0
-3.0026 4.6055 4.2123
-5.9142 3.0738 -1.8824
-6.2262 -2.0409 3.4873
Cs Ge Cl
1 1 6
Direct
0.5000 0.5000 0.5000
0.0000 0.0000 0.0000
0.9137 0.9137 0.7867
0.3859 0.9137 0.7867
0.0863 0.6141 0.2133
0.6141 0.0863 0.2133
0.0863 0.0863 0.2133
0.9137 0.3859 0.7867
```

Results
Total magnetization = 0.08 μB/atom
Space-group type = R-3m, No. 166
Formation energy from raw total energies = -0.915 eV per atom
Calculated density = 2.7 g/cm3
Volume = 260 Å³/f.u.

=====

(11)
Compound: CsGeCl
Source: Alexandria
Functional: GGA-PBE
Structure: optimized geometry

Cell and atoms, written as POSCAR:
```
CsGeCl
1.0
-0.8953 -1.4949 -4.4063
0.0662 -4.7171 1.5869
-11.8907 3.7060 3.7065
Cl Ge Cs
2 2 2
Direct
0.6806 0.1806 0.3613
0.3194 0.8194 0.6387
0.7507 0.5000 0.0000
0.2493 0.5000 0.0000
0.1799 0.6799 0.3597
0.8201 0.3201 0.6403
```

Results
Total magnetization = 0.00 μB/atom
Space-group type = Immm, No. 71
Formation energy from raw total energies = -0.778 eV per atom
Calculated density = 2.7 g/cm3
Volume = 148 Å³/f.u.

=====

(12)
Compound: Cs2GeCl
Source: Alexandria
Functional: GGA-PBE
Structure: optimized geometry

Cell and atoms, written as POSCAR:
```
Cs2GeCl
1.0
6.2851 0.0000 0.0000
3.1425 5.4430 0.0000
3.1425 1.8143 5.1317
Cs Ge Cl
2 1 1
Direct
0.2500 0.2500 0.2500
0.7500 0.7500 0.7500
0.5000 0.5000 0.5000
0.0000 0.0000 0.0000
```

Results
Total magnetization = 0.75 μB/atom
Polymorph energy (0 for the lowest one) = 0.0 meV per atom
Space-group type = Fm-3m, No. 225
Formation energy from raw total energies = -0.565 eV per atom
Calculated density = 3.5 g/cm3
Volume = 176 Å³/f.u.

=====

(13)
Compound: Cs3GeCl
Source: Alexandria
Functional: GGA-PBE
Structure: optimized geometry

Cell and atoms, written as POSCAR:
```
Cs3GeCl
1.0
-2.4159 -1.3271 6.0118
5.3801 -3.5946 1.3686
2.9929 5.3905 2.3927
Cs Ge Cl
3 1 1
Direct
0.0000 0.5000 0.0000
0.0000 0.0000 0.5000
0.5000 0.0000 0.0000
0.5000 0.5000 0.5000
0.0000 0.0000 0.0000
```

Results
Total magnetization = 0.40 μB/atom
Polymorph energy (0 for the lowest one) = 0.0 meV per atom
Space-group type = Pm-3m, No. 221
Formation energy from raw total energies = -0.524 eV per atom
Calculated density = 2.9 g/cm3
Volume = 289 Å³/f.u.

=====

(14)
Compound: CsGeCl4
Source: Alexandria
Functional: GGA-PBE
Structure: optimized geometry

Cell and atoms, written as POSCAR:
```
CsGeCl4
1.0
-5.0437 -5.0082 0.5595
1.2939 -2.8904 5.1466
-4.2429 2.5013 3.5010
Cs Ge Cl
1 1 4
Direct
0.9972 0.4972 0.4932
0.5296 0.0331 0.0290
0.7068 0.0609 0.6435
0.2854 0.9333 0.3403
0.2854 0.3443 0.9293
0.7068 0.6475 0.0569
```

Results
Total magnetization = 0.17 μB/atom
Polymorph energy (0 for the lowest one) = 150.5 meV per atom
Space-group type = Cm, No. 8
Formation energy from raw total energies = -1.038 eV per atom
Calculated density = 2.4 g/cm3
Volume = 243 Å³/f.u.

=====

(15)
Compound: Cs2Ge2Cl5
Source: Alexandria
Functional: GGA-PBE
Structure: optimized geometry

Cell and atoms, written as POSCAR:
```
Cs2Ge2Cl5
1.0
-4.6062 -2.8795 2.2539
6.7875 -0.9224 5.0200
-3.3998 6.4505 1.2931
Cs Ge Cl
2 2 5
Direct
0.4046 0.8091 0.6834
0.5954 0.1909 0.3166
0.1700 0.3399 0.9244
0.8300 0.6601 0.0756
0.3524 0.7047 0.1055
0.6476 0.2953 0.8945
0.1661 0.3321 0.5987
0.8339 0.6679 0.4013
0.0000 0.0000 0.0000
```

Results
Total magnetization = 0.00 μB/atom
Polymorph energy (0 for the lowest one) = 92.4 meV per atom
Space-group type = C2/m, No. 12
Formation energy from raw total energies = -1.104 eV per atom
Calculated density = 3.0 g/cm3
Volume = 321 Å³/f.u.

=====

(16)
Compound: Cs2Ge2Cl5
Source: Alexandria
Functional: GGA-PBE
Structure: optimized geometry

Cell and atoms, written as POSCAR:
```
Cs2Ge2Cl5
1.0
-2.6025 2.5058 4.4313
2.4254 -3.8607 3.4498
7.0868 5.4282 1.0925
Cs Ge Cl
2 2 5
Direct
0.0586 0.0586 0.0000
0.0510 0.0510 0.5000
0.5662 0.5662 0.1985
0.5662 0.5662 0.8015
0.9841 0.5536 0.7754
0.5536 0.9841 0.2246
0.5536 0.9841 0.7754
0.9841 0.5536 0.2246
0.5185 0.5185 0.5000
```

Results
Total magnetization = 0.00 μB/atom
Polymorph energy (0 for the lowest one) = 0.0 meV per atom
Space-group type = Amm2, No. 38
Formation energy from raw total energies = -1.196 eV per atom
Calculated density = 3.3 g/cm3
Volume = 294 Å³/f.u.

=====

(17)
Compound: CsGe2Cl4
Source: Alexandria
Functional: GGA-PBE
Structure: optimized geometry

Cell and atoms, written as POSCAR:
```
CsGe2Cl4
1.0
8.5603 2.2274 0.3424
1.4260 7.8676 -0.3599
-4.6194 -5.5105 9.0272
Cs Ge Cl
2 4 8
Direct
0.1035 0.4651 0.5335
0.8058 0.0294 0.9526
0.6542 0.3414 0.6782
0.5948 0.9854 0.1777
0.7795 0.6952 0.2537
0.2622 0.4676 0.9683
0.8899 0.0448 0.2894
0.5483 0.5045 0.1701
0.8548 0.4870 0.7033
0.8258 0.0139 0.6381
0.4914 0.2432 0.4012
0.3710 0.2118 0.7684
0.2459 0.7518 0.9495
0.8229 0.5088 0.0158
```

Results
Total magnetization = 0.00 μB/atom
Space-group type = P1, No. 1
Formation energy from raw total energies = -1.009 eV per atom
Calculated density = 2.4 g/cm3
Volume = 288 Å³/f.u.

=====

(18)
Compound: CsGeCl4
Source: Alexandria
Functional: GGA-PBE
Structure: optimized geometry

Cell and atoms, written as POSCAR:
```
CsGeCl4
1.0
-0.9612 -4.9053 -1.0784
6.8958 -1.8703 2.3611
-2.9672 1.1426 9.5711
Cs Ge Cl
2 2 8
Direct
0.3940 0.7500 0.7880
0.6060 0.2500 0.2120
0.0981 0.7500 0.1961
0.9019 0.2500 0.8039
0.1782 0.5286 0.3563
0.8218 0.4714 0.6437
0.1782 0.9714 0.3563
0.8218 0.0286 0.6437
0.5829 0.7500 0.1657
0.4171 0.2500 0.8343
0.0000 0.5000 0.0000
0.0000 0.0000 0.0000
```

Results
Total magnetization = 0.00 μB/atom
Polymorph energy (0 for the lowest one) = 0.0 meV per atom
Space-group type = Cmcm, No. 63
Formation energy from raw total energies = -1.188 eV per atom
Calculated density = 3.1 g/cm3
Volume = 188 Å³/f.u.

=====

(19)
Compound: Cs4Ge2Cl
Source: Alexandria
Functional: GGA-PBE
Structure: optimized geometry

Cell and atoms, written as POSCAR:
```
Cs4Ge2Cl
1.0
-2.0473 7.0212 1.1937
-4.3056 -0.2308 -6.0268
-9.5133 0.7606 2.2114
Cs Ge Cl
4 2 1
Direct
0.7944 0.7944 0.4113
0.2056 0.2056 0.5887
0.0000 0.5000 0.0000
0.5000 0.0000 0.0000
0.5687 0.5687 0.8625
0.4313 0.4313 0.1375
0.0000 0.0000 0.0000
```

Results
Total magnetization = 0.00 μB/atom
Space-group type = I4/mmm, No. 139
Formation energy from raw total energies = -0.513 eV per atom
Calculated density = 2.6 g/cm3
Volume = 455 Å³/f.u.

=====

(20)
Compound: Cs2GeCl
Source: Alexandria
Functional: GGA-PBE
Structure: optimized geometry

Cell and atoms, written as POSCAR:
```
Cs2GeCl
1.0
6.7737 -5.1045 1.1836
2.1154 6.7826 4.7815
-7.4379 -3.5970 2.2540
Cs Ge Cl
4 2 2
Direct
0.1612 0.6250 0.0362
0.5888 0.1250 0.9638
0.3750 0.4112 0.5362
0.8750 0.8388 0.4638
0.7500 0.2500 0.5000
0.0000 0.0000 0.0000
0.2500 0.7500 0.5000
0.5000 0.5000 0.0000
```

Results
Total magnetization = 0.75 μB/atom
Polymorph energy (0 for the lowest one) = 9.3 meV per atom
Space-group type = I-42d, No. 122
Formation energy from raw total energies = -0.556 eV per atom
Calculated density = 2.6 g/cm3
Volume = 238 Å³/f.u.